A plane-wave DFT calculation with PBE was carried out for TaIr3Rh4 after structural relaxation.

Cell and atoms, written as POSCAR:
```
TaIr3Rh4
1.0
2.747 0.000 0.000
0.000 8.441 0.000
0.000 0.000 10.688
Ta Ir Rh
2 6 8
Cartesian
0.000 0.000 0.000
1.373 4.220 5.344
0.000 0.000 5.344
0.000 4.220 3.121
0.000 4.220 7.567
1.373 0.000 2.223
1.373 0.000 8.464
1.373 4.220 0.000
0.000 2.278 1.361
0.000 2.278 9.326
0.000 6.163 1.361
0.000 6.163 9.326
1.373 1.942 3.982
1.373 1.942 6.705
1.373 6.498 3.982
1.373 6.498 6.705
```

Properties
The value obtained for the electronic total energy is -8.39 eV per atom. As for the magnetization: 0.00 μB/atom. Its space group is Immm (71). The formation energy is 0.086 eV per atom.

A plane-wave DFT calculation with PBE was carried out for Ta2IrRh after structural relaxation.

Cell and atoms, written as POSCAR:
```
Ta2IrRh
1.0
2.854 0.000 0.000
0.000 4.640 0.000
-0.512 0.000 4.905
Ta Ir Rh
2 1 1
Cartesian
0.000 0.000 0.000
0.155 2.320 3.032
1.532 2.320 0.625
1.485 0.000 2.414
```

Properties
The value obtained for the electronic total energy is -10.51 eV per atom. As for the magnetization: 0.00 μB/atom. Its space group is Pm (6). The formation energy is -0.534 eV per atom.

A plane-wave DFT calculation with PBE was carried out for Ta6Ir5Rh after structural relaxation.

Cell and atoms, written as POSCAR:
```
Ta6Ir5Rh
1.0
-2.035 3.868 6.142
2.035 -3.868 6.142
2.035 3.868 -6.142
Ta Ir Rh
6 5 1
Cartesian
2.035 1.933 -2.049
0.000 1.933 0.000
2.035 1.933 2.049
0.000 1.935 4.093
0.000 5.803 0.000
0.000 1.935 8.191
0.000 0.000 2.039
2.035 0.000 4.096
0.000 0.000 6.142
0.000 3.868 2.046
0.000 0.000 10.245
2.035 0.000 0.000
```

Properties
The value obtained for the electronic total energy is -10.81 eV per atom. As for the magnetization: 0.00 μB/atom. Its space group is Immm (71). The formation energy is -0.577 eV per atom.

A plane-wave DFT calculation with PBE was carried out for Ta2IrRh after structural relaxation.

Cell and atoms, written as POSCAR:
```
Ta2IrRh
1.0
2.965 0.000 0.000
-1.483 2.568 0.000
0.000 0.000 26.480
Ta Ir Rh
6 3 3
Cartesian
0.000 0.000 0.000
0.000 0.000 6.449
0.000 1.712 17.654
0.000 1.712 24.103
1.483 0.856 8.827
1.483 0.856 15.276
0.000 0.000 13.231
0.000 1.712 4.404
1.483 0.856 22.058
0.000 0.000 19.679
0.000 1.712 10.852
1.483 0.856 2.026
```

Properties
The value obtained for the electronic total energy is -10.12 eV per atom. As for the magnetization: 0.00 μB/atom. Its space group is R3m (160). The formation energy is -0.136 eV per atom.

A plane-wave DFT calculation with PBE was carried out for Ta4IrRh after structural relaxation.

Cell and atoms, written as POSCAR:
```
Ta4IrRh
1.0
0.000 3.744 3.744
3.744 0.000 3.744
3.744 3.744 0.000
Ta Ir Rh
4 1 1
Cartesian
0.934 0.934 0.934
2.809 2.809 0.934
2.809 0.934 2.809
0.934 2.809 2.809
5.615 5.615 5.615
3.744 3.744 3.744
```

Properties
The value obtained for the electronic total energy is -10.41 eV per atom. As for the magnetization: 0.00 μB/atom. Its space group is F-43m (216). The formation energy is 0.195 eV per atom.

A plane-wave DFT calculation with PBE was carried out for Ta2IrRh after structural relaxation.

Cell and atoms, written as POSCAR:
```
Ta2IrRh
1.0
9.427 0.000 0.000
0.000 2.875 0.000
-0.797 0.000 4.806
Ta Ir Rh
4 2 2
Cartesian
0.000 0.000 0.000
1.656 0.000 3.218
4.714 1.438 0.000
6.369 1.438 3.218
4.199 0.000 2.356
8.913 1.438 2.356
2.189 1.438 0.868
6.903 0.000 0.868
```

Properties
The value obtained for the electronic total energy is -10.44 eV per atom. As for the magnetization: 0.00 μB/atom. Its space group is Cm (8). The formation energy is -0.457 eV per atom.